# Na7Mn16O32

Crystalline Na7Mn16O32 at its relaxed geometry (GGA+U, Alexandria).

Calculated values
Its crystal system is triclinic. Its uncorrected energy is -6.746 eV per atom.

Cell: 8.656 8.773 10.490 Å, 65.62 66.06 89.82°
Space group P1 (No. 1)
Symmetry-distinct sites (fractional):
Na1 0.000 0.000 0.000 x1
Na2 0.105 0.630 0.256 x1
Na3 0.249 0.740 0.499 x1
Na4 0.361 0.363 0.764 x1
Na5 0.490 0.500 0.003 x1
Na6 0.610 0.122 0.255 x1
Na7 0.740 0.243 0.511 x1
Mn1 0.051 0.310 0.137 x1
Mn2 0.052 0.316 0.627 x1
Mn3 0.173 0.189 0.383 x1
Mn4 0.177 0.686 0.875 x1
Mn5 0.301 0.059 0.628 x1
Mn6 0.307 0.048 0.136 x1
Mn7 0.429 0.443 0.374 x1
Mn8 0.432 0.923 0.880 x1
Mn9 0.549 0.799 0.636 x1
Mn10 0.565 0.802 0.113 x1
Mn11 0.682 0.686 0.377 x1
Mn12 0.684 0.177 0.878 x1
Mn13 0.798 0.564 0.642 x1
Mn14 0.812 0.572 0.119 x1
Mn15 0.930 0.927 0.391 x1
Mn16 0.932 0.441 0.878 x1
O1 0.022 0.535 0.649 x1
O2 0.042 0.582 0.097 x1
O3 0.071 0.037 0.165 x1
O4 0.078 0.098 0.617 x1
O5 0.150 0.451 0.900 x1
O6 0.151 0.398 0.407 x1
O7 0.203 0.982 0.361 x1
O8 0.209 0.919 0.856 x1
O9 0.262 0.299 0.158 x1
O10 0.284 0.335 0.601 x1
O11 0.318 0.792 0.653 x1
O12 0.348 0.810 0.103 x1
O13 0.394 0.208 0.397 x1
O14 0.412 0.711 0.864 x1
O15 0.435 0.134 0.898 x1
O16 0.469 0.679 0.344 x1
O17 0.523 0.021 0.645 x1
O18 0.556 0.033 0.104 x1
O19 0.575 0.566 0.143 x1
O20 0.577 0.577 0.645 x1
O21 0.647 0.919 0.889 x1
O22 0.660 0.888 0.413 x1
O23 0.706 0.482 0.343 x1
O24 0.718 0.438 0.866 x1
O25 0.785 0.790 0.115 x1
O26 0.785 0.797 0.623 x1
O27 0.809 0.326 0.655 x1
O28 0.835 0.347 0.109 x1
O29 0.893 0.691 0.416 x1
O30 0.930 0.227 0.860 x1
O31 0.944 0.659 0.886 x1
O32 0.955 0.163 0.369 x1